Below is La2Te after structural relaxation, with properties calculated at the GGA-PBE level.

Results
Formation energy without anion corrections ... -0.77 eV/atom
SG ... I4_1/amd (141)

Cell and atoms, written as POSCAR:
```
La2Te
1.0
3.3163 4.8108 13.1480
-0.0808 8.7790 11.3989
-3.7630 -8.1709 -11.2289
Te La
2 4
Direct
0.0000 0.0000 0.0000 Te
0.7500 0.2500 0.5000 Te
0.3162 0.8162 0.5000 La
0.1838 0.6838 0.5000 La
0.5662 0.5662 0.0000 La
0.4338 0.4338 0.0000 La
```



Below is Ba2BiPbO after structural relaxation, with properties calculated at the GGA-PBE level.

Results
Formation energy without anion corrections ... -1.21 eV/atom
SG ... P4/mmm (123)

Cell and atoms, written as POSCAR:
```
Ba2BiPbO
1.0
-2.3674 3.3673 3.7145
-2.4829 -4.3561 2.3664
4.0267 -0.6037 3.1136
Bi Ba Pb O
1 2 1 1
Direct
0.5000 0.5000 0.5000 Bi
0.5000 0.0000 0.0000 Ba
0.0000 0.5000 0.0000 Ba
0.0000 0.0000 0.5000 Pb
0.0000 0.0000 0.0000 O
```



Below is ScMoAs after structural relaxation, with properties calculated at the GGA-PBE level.

Results
SG ... P3m1 (156)
ΔH_f (0 K) ... -0.264 eV per atom

Cell and atoms, written as POSCAR:
```
ScMoAs
1.0
-0.4630 3.2653 0.4446
-1.4970 -1.5639 -2.5273
-4.6174 -1.1216 3.4290
As Mo Sc
1 1 1
Direct
0.0000 0.0000 0.0217 As
0.6667 0.3333 0.3005 Mo
0.3333 0.6667 0.6778 Sc
```



Here are the calculated N(E_F) numbers, same order: 9.03; 2.02; 2.43 (states/eV/cell).